# La3Ge2Rh3 | Alexandria | PBE | relaxed
data_La3Ge2Rh3
_chemical_formula_sum 'La12 Ge8 Rh12'
_cell_length_a 4.3711
_cell_length_b 10.8007
_cell_length_c 15.2675
_cell_angle_alpha 90.00
_cell_angle_beta 90.00
_cell_angle_gamma 90.00
_space_group_name_H-M_alt 'C m c m'
_space_group_IT_number 63
_space_group_name_Hall '-C 2c 2'
loop_
_atom_site_label
_atom_site_type_symbol
_atom_site_fract_x
_atom_site_fract_y
_atom_site_fract_z
La1 La 0.0000 0.0854 0.1065
La2 La 0.0000 0.3736 0.2500
Ge1 Ge 0.0000 0.2007 0.6047
Rh1 Rh 0.0000 0.3300 0.7500
Rh2 Rh 0.0000 0.3390 0.0308
# E = -6.584 eV/atom
# spin magnetization = 0.00 μB per cell
# ΔH_f (0 K) = -0.825 eV per atom


# LiAc3Ce2Se6 | Alexandria | PBE | relaxed
data_LiAc3Ce2Se6
_chemical_formula_sum 'Li2 Ac6 Ce4 Se12'
_cell_length_a 7.4933
_cell_length_b 13.0088
_cell_length_c 7.4740
_cell_angle_alpha 90.00
_cell_angle_beta 109.71
_cell_angle_gamma 90.00
_space_group_name_H-M_alt 'C 1 2/m 1'
_space_group_IT_number 12
loop_
_space_group_symop_operation_xyz
'x,y,z'
'-x,-y,-z'
'-x,y,-z'
'x,-y,z'
'x+1/2,y+1/2,z'
'-x+1/2,-y+1/2,-z'
'-x+1/2,y+1/2,-z'
'x+1/2,-y+1/2,z'
loop_
_atom_site_label
_atom_site_type_symbol
_atom_site_fract_x
_atom_site_fract_y
_atom_site_fract_z
Li1 Li 0.0000 0.0000 0.0000
Ac1 Ac 0.0000 0.1680 0.5000
Ac2 Ac 0.0000 0.5000 0.5000
Ce1 Ce 0.0000 0.3344 0.0000
Se1 Se 0.2383 0.1627 0.2280
Se2 Se 0.2483 0.0000 0.7706
# E = -5.687 eV/atom
# spin magnetization = 4.56 μB per cell
# energy relative to the elements, uncorrected = -1.77 eV per atom


# Zn2SbIr | Alexandria | PBE | relaxed
data_Zn2SbIr
_chemical_formula_sum 'Zn4 Sb2 Ir2'
_cell_length_a 3.1832
_cell_length_b 4.8605
_cell_length_c 9.0289
_cell_angle_alpha 90.00
_cell_angle_beta 90.00
_cell_angle_gamma 90.00
_space_group_name_H-M_alt 'I m m m'
_space_group_IT_number 71
_space_group_name_Hall '-I 2 2'
loop_
_atom_site_label
_atom_site_type_symbol
_atom_site_fract_x
_atom_site_fract_y
_atom_site_fract_z
Zn1 Zn 0.0000 0.0000 0.2304
Sb1 Sb 0.0000 0.5000 0.0000
Ir1 Ir 0.0000 0.5000 0.5000
# E = -3.750 eV/atom
# spin magnetization = 0.00 μB per cell
# energy relative to the elements, uncorrected = 0.13 eV per atom


# CsSr3Pb | Alexandria | PBE | relaxed
data_CsSr3Pb
_chemical_formula_sum 'Cs1 Sr3 Pb1'
_cell_length_a 6.6667
_cell_length_b 6.6667
_cell_length_c 6.6667
_cell_angle_alpha 90.00
_cell_angle_beta 90.00
_cell_angle_gamma 90.00
_space_group_name_H-M_alt 'P m -3 m'
_space_group_IT_number 221
_space_group_name_Hall '-P 4 2 3'
loop_
_atom_site_label
_atom_site_type_symbol
_atom_site_fract_x
_atom_site_fract_y
_atom_site_fract_z
Cs1 Cs 0.0000 0.0000 0.0000
Sr1 Sr 0.0000 0.5000 0.5000
Pb1 Pb 0.5000 0.5000 0.5000
# E = -2.049 eV/atom
# spin magnetization = 0.00 μB per cell
# ΔH_f (0 K) = -0.128 eV per atom


# Ac4SeS3 | Alexandria | PBE | relaxed
data_Ac4SeS3
_chemical_formula_sum 'Ac8 Se2 S6'
_cell_length_a 8.7391
_cell_length_b 12.3085
_cell_length_c 4.3219
_cell_angle_alpha 90.00
_cell_angle_beta 90.00
_cell_angle_gamma 90.00
_space_group_name_H-M_alt 'C m m m'
_space_group_IT_number 65
_space_group_name_Hall '-C 2 2'
loop_
_atom_site_label
_atom_site_type_symbol
_atom_site_fract_x
_atom_site_fract_y
_atom_site_fract_z
Ac1 Ac 0.0000 0.2445 0.0000
Ac2 Ac 0.2388 0.0000 0.5000
Se1 Se 0.0000 0.5000 0.0000
S1 S 0.0000 0.0000 0.0000
S2 S 0.2500 0.2500 0.5000
# E = -6.008 eV/atom
# spin magnetization = 0.00 μB per cell
# energy relative to the elements, uncorrected = -1.97 eV per atom


# La8Hg2Pt3 | Alexandria | PBE | relaxed
data_La8Hg2Pt3
_chemical_formula_sum 'La8 Hg2 Pt3'
_cell_length_a 8.8512
_cell_length_b 4.9916
_cell_length_c 9.9363
_cell_angle_alpha 90.00
_cell_angle_beta 104.59
_cell_angle_gamma 90.00
_space_group_name_H-M_alt 'P 1 2/m 1'
_space_group_IT_number 10
loop_
_space_group_symop_operation_xyz
'x,y,z'
'-x,-y,-z'
'-x,y,-z'
'x,-y,z'
loop_
_atom_site_label
_atom_site_type_symbol
_atom_site_fract_x
_atom_site_fract_y
_atom_site_fract_z
La1 La 0.0469 0.0000 0.3386
La2 La 0.1414 0.5000 0.9123
La3 La 0.3282 0.5000 0.6171
La4 La 0.3981 0.0000 0.1343
Hg1 Hg 0.2597 0.5000 0.2660
Pt1 Pt 0.0000 0.5000 0.5000
Pt2 Pt 0.2775 0.0000 0.8070
# E = -5.088 eV/atom
# spin magnetization = 0.00 μB per cell
# ΔH_f (0 K) = -0.615 eV per atom


# Cs2CdGeO4 | Alexandria | PBE | relaxed
data_Cs2CdGeO4
_chemical_formula_sum 'Cs16 Cd8 Ge8 O32'
_cell_length_a 5.6442
_cell_length_b 12.6671
_cell_length_c 22.2924
_cell_angle_alpha 90.00
_cell_angle_beta 90.00
_cell_angle_gamma 90.00
_space_group_name_H-M_alt 'F d d d'
_space_group_IT_number 70
loop_
_space_group_symop_operation_xyz
'x,y,z'
'-x,-y,-z'
'-x+1/4,-y+1/4,z'
'x+1/4,y+1/4,-z'
'x,-y+1/4,-z+1/4'
'-x,y+1/4,z+1/4'
'-x+1/4,y,-z+1/4'
'x+1/4,-y,z+1/4'
'x,y+1/2,z+1/2'
'-x,-y+1/2,-z+1/2'
'-x+1/4,-y+3/4,z+1/2'
'x+1/4,y+3/4,-z+1/2'
'x,-y+3/4,-z+3/4'
'-x,y+3/4,z+3/4'
'-x+1/4,y+1/2,-z+3/4'
'x+1/4,-y+1/2,z+3/4'
'x+1/2,y,z+1/2'
'-x+1/2,-y,-z+1/2'
'-x+3/4,-y+1/4,z+1/2'
'x+3/4,y+1/4,-z+1/2'
'x+1/2,-y+1/4,-z+3/4'
'-x+1/2,y+1/4,z+3/4'
'-x+3/4,y,-z+3/4'
'x+3/4,-y,z+3/4'
'x+1/2,y+1/2,z'
'-x+1/2,-y+1/2,-z'
'-x+3/4,-y+3/4,z'
'x+3/4,y+3/4,-z'
'x+1/2,-y+3/4,-z+1/4'
'-x+1/2,y+3/4,z+1/4'
'-x+3/4,y+1/2,-z+1/4'
'x+3/4,-y+1/2,z+1/4'
loop_
_atom_site_label
_atom_site_type_symbol
_atom_site_fract_x
_atom_site_fract_y
_atom_site_fract_z
Cs1 Cs 0.1250 0.1250 0.3023
Cd1 Cd 0.1250 0.1250 0.1250
Ge1 Ge 0.1250 0.1250 0.6250
O1 O 0.0736 0.2916 0.8329
# E = -4.830 eV/atom
# spin magnetization = 0.00 μB per cell
# energy relative to the elements, uncorrected = -1.45 eV per atom


# PuCdOsO6 | Alexandria | PBE | relaxed
data_PuCdOsO6
_chemical_formula_sum 'Pu2 Cd2 Os2 O12'
_cell_length_a 5.3832
_cell_length_b 5.3832
_cell_length_c 9.8159
_cell_angle_alpha 90.00
_cell_angle_beta 90.00
_cell_angle_gamma 120.00
_space_group_name_H-M_alt 'P -3 1 c'
_space_group_IT_number 163
_space_group_name_Hall '-P 3 2c'
loop_
_atom_site_label
_atom_site_type_symbol
_atom_site_fract_x
_atom_site_fract_y
_atom_site_fract_z
Pu1 Pu 0.3333 0.6667 0.2500
Cd1 Cd 0.0000 0.0000 0.0000
Os1 Os 0.3333 0.6667 0.7500
O1 O 0.0251 0.3677 0.6377
# E = -7.894 eV/atom
# spin magnetization = 6.09 μB per cell
# energy relative to the elements, uncorrected = -1.65 eV per atom


# Th2MgAl2Rh5 | Alexandria | PBE | relaxed
data_Th2MgAl2Rh5
_chemical_formula_sum 'Th4 Mg2 Al4 Rh10'
_cell_length_a 10.0305
_cell_length_b 10.0305
_cell_length_c 3.6130
_cell_angle_alpha 90.00
_cell_angle_beta 90.00
_cell_angle_gamma 90.00
_space_group_name_H-M_alt 'P 4/m b m'
_space_group_IT_number 127
_space_group_name_Hall '-P 4 2ab'
loop_
_atom_site_label
_atom_site_type_symbol
_atom_site_fract_x
_atom_site_fract_y
_atom_site_fract_z
Th1 Th 0.1796 0.3204 0.0000
Mg1 Mg 0.0000 0.0000 0.0000
Al1 Al 0.1184 0.6184 0.0000
Rh1 Rh 0.0000 0.5000 0.5000
Rh2 Rh 0.0718 0.7868 0.5000
# E = -6.860 eV/atom
# spin magnetization = 0.00 μB per cell
# ΔH_f (0 K) = -0.792 eV per atom


# Y4PAu | Alexandria | PBE | relaxed
data_Y4PAu
_chemical_formula_sum 'Y16 P4 Au4'
_cell_length_a 8.6285
_cell_length_b 8.6285
_cell_length_c 8.6285
_cell_angle_alpha 90.00
_cell_angle_beta 90.00
_cell_angle_gamma 90.00
_space_group_name_H-M_alt 'F -4 3 m'
_space_group_IT_number 216
_space_group_name_Hall 'F -4 2 3'
loop_
_atom_site_label
_atom_site_type_symbol
_atom_site_fract_x
_atom_site_fract_y
_atom_site_fract_z
Y1 Y 0.1254 0.1254 0.1254
P1 P 0.0000 0.0000 0.5000
Au1 Au 0.2500 0.2500 0.7500
# E = -5.363 eV/atom
# spin magnetization = 0.00 μB per cell
# ΔH_f (0 K) = 0.395 eV per atom


# Pm2AlHPd6 | Alexandria | PBE | relaxed
data_Pm2AlHPd6
_chemical_formula_sum 'Pm4 Al2 H2 Pd12'
_cell_length_a 9.9870
_cell_length_b 5.7585
_cell_length_c 6.8503
_cell_angle_alpha 90.00
_cell_angle_beta 118.68
_cell_angle_gamma 90.00
_space_group_name_H-M_alt 'C 1 2/m 1'
_space_group_IT_number 12
loop_
_space_group_symop_operation_xyz
'x,y,z'
'-x,-y,-z'
'-x,y,-z'
'x,-y,z'
'x+1/2,y+1/2,z'
'-x+1/2,-y+1/2,-z'
'-x+1/2,y+1/2,-z'
'x+1/2,-y+1/2,z'
loop_
_atom_site_label
_atom_site_type_symbol
_atom_site_fract_x
_atom_site_fract_y
_atom_site_fract_z
Pm1 Pm 0.2273 0.0000 0.1808
Al1 Al 0.0000 0.5000 0.0000
H1 H 0.0000 0.0000 0.5000
Pd1 Pd 0.0197 0.2493 0.3090
Pd2 Pd 0.2305 0.0000 0.6913
# E = -5.518 eV/atom
# spin magnetization = 0.00 μB per cell